This record from Alexandria via LeMat-Bulk describes a relaxed structure of PmCo2RhO6. The functional is GGA+U.

As for the volume: 339 Å³/cell. Its density of states at the Fermi level is 0.482 states/eV/atom. The total energy comes out at -199.28 eV per cell.

The structure belongs to space group R3 (No. 146, hexagonal axes); the cell edges are 5.2600, 5.2600 and 14.1309 Å and the angles 90.00°, 90.00° and 120.00°. The distinct sites, in fractional coordinates, are Pm at (0.0000, 0.0000, 0.0000), Co at (0.0000, 0.0000, 0.2619), Co at (0.0000, 0.0000, 0.7860), Rh at (0.0000, 0.0000, 0.4672), O at (0.0064, 0.5881, 0.0450) and O at (0.0131, 0.3123, 0.8663).

***

This record from Alexandria via LeMat-Bulk describes a relaxed structure of Cs3SrFe2F9. The functional is GGA+U.

As for the volume: 270 Å³/cell. Its density of states at the Fermi level is 0.000 states/eV/atom. The total energy comes out at -75.46 eV per cell.

The structure belongs to space group P-3m1 (No. 164); the cell edges are 6.3659, 6.3659 and 7.6954 Å and the angles 90.00°, 90.00° and 120.00°. The distinct sites, in fractional coordinates, are Cs at (0.0000, 0.0000, 0.0000), Cs at (0.3333, 0.6667, 0.6747), Sr at (0.0000, 0.0000, 0.5000), Fe at (0.3333, 0.6667, 0.1545), F at (0.0000, 0.5000, 0.0000) and F at (0.1771, 0.3542, 0.3134).